Entry 1:
# NbVSiF2

A relaxed structure of NbVSiF2 (PBE with a Hubbard U, Alexandria via LeMat-Bulk).

abc: 3.721 5.556 3.721
angles: 90.00 90.00 90.00
Atoms (fractional coordinates):
1 F 0.000 0.000 0.500
2 Nb 0.500 0.500 0.500
3 V 0.000 0.500 0.000
4 F 0.500 0.000 0.000
5 Si 0.000 0.000 0.000

Properties
Electronic total energy = -5.28 eV/atom
Calculated density = 4.53 Mg/m³
Spin magnetization = 0.00 μB/f.u.

---

Entry 2:
# Nb2SiWF

A relaxed structure of Nb2SiWF (PBE with a Hubbard U, Alexandria via LeMat-Bulk).

abc: 4.965 4.736 4.965
angles: 90.00 90.00 90.00
Atoms (fractional coordinates):
1 F 0.500 0.500 0.500
2 Nb 0.000 0.000 0.500
3 Nb 0.500 0.000 0.000
4 W 0.000 0.000 0.000
5 Si 0.000 0.500 0.000

Properties
Electronic total energy = -5.60 eV/atom
Calculated density = 5.93 Mg/m³
Spin magnetization = 0.00 μB/f.u.

---

- calculated density of number 1 (NbVSiF2)?
  4.53 Mg/m³

---

Copy entry 1 word for word.
# NbVSiF2

A relaxed structure of NbVSiF2 (PBE with a Hubbard U, Alexandria via LeMat-Bulk).

abc: 3.721 5.556 3.721
angles: 90.00 90.00 90.00
Atoms (fractional coordinates):
1 F 0.000 0.000 0.500
2 Nb 0.500 0.500 0.500
3 V 0.000 0.500 0.000
4 F 0.500 0.000 0.000
5 Si 0.000 0.000 0.000

Properties
Electronic total energy = -5.28 eV/atom
Calculated density = 4.53 Mg/m³
Spin magnetization = 0.00 μB/f.u.

---

- Number 1 is which compound?
  NbVSiF2